Computed, not measured: crystalline La4ZrMn at its relaxed geometry at the PBE-GGA level of DFT.

Values from the calculation:
total energy = -33.28 eV for the cell shown
magnetic moment = 2.4 μB/cell
V = 190 Å³/cell

Lattice parameters (Å, degrees): 6.451 6.451 6.451 60.00 60.00 60.00
Site moments in Bohr magnetons follow the coordinates.
Atoms (fractional coordinates):
La 0.375 0.876 0.375  -0.10
La 0.375 0.375 0.375  -0.10
Zr 0.000 0.000 0.000  -0.76
La 0.375 0.375 0.876  -0.10
Mn 0.750 0.750 0.750  4.19
La 0.876 0.375 0.375  -0.10